First-principles (GGA-PBE) data for HfScMn2As after structural relaxation, as listed in Alexandria.

abc: 4.3831 4.3831 4.7756
angles: 90.00 90.00 90.00
Last column: nearest neighbours and their distance in Å.
Space group P4/mmm (No. 123)
Unique sites:
Hf 0.0000 0.0000 0.0000  4 Sc 3.10, 8 Mn 3.24
Sc 0.5000 0.5000 0.0000  2 As 2.39
Mn 0.0000 0.5000 0.5000  2 As 2.19
As 0.5000 0.5000 0.5000  4 Mn 2.19, 2 Sc 2.39

Calculated values
Raw total energy = -7.333 eV/atom
Energy relative to the elements = 521 meV/atom
Total moment = 0.03 μB per cell